[1]
Computed, not measured: a relaxed KTcPd crystal at the PBE level of DFT.

The structure belongs to space group Pnma (No. 62); the cell edges are 5.3440, 4.6834 and 10.2516 Å and the angles 90.00°, 90.00° and 90.00°. Symmetry generates all atoms from K at (0.0112, 0.2500, 0.1053), Tc at (0.0079, 0.7500, 0.3051) and Pd at (0.0106, 0.2500, 0.4364).

The raw total energy is -4.59 eV per atom. Its formation energy is 966 meV/atom. The calculation puts the density of states at the Fermi level at 13.55 states/eV/cell. The value obtained for the magnetization is 2.4 μB per cell.

[2]
Computed, not measured: a relaxed Cd3Au crystal at the PBE level of DFT.

The structure belongs to space group Cmcm (No. 63); the cell edges are 6.2277, 10.7942 and 4.8664 Å and the angles 90.00°, 90.00° and 90.00°. Symmetry generates all atoms from Cd at (0.0000, 0.0841, 0.2500), Cd at (0.2433, 0.3392, 0.2500) and Au at (0.0000, 0.4081, 0.7500).

The raw total energy is -1.60 eV per atom. Its formation energy is -95 meV/atom. The calculation puts the density of states at the Fermi level at 2.87 states/eV/cell. The value obtained for the magnetization is 0.0 μB per cell.

[3]
Computed, not measured: a relaxed BaPHO2 crystal at the PBE level of DFT.

The structure belongs to space group P4/mmm (No. 123); the cell edges are 4.5746, 4.5746 and 3.2287 Å and the angles 90.00°, 90.00° and 90.00°. Symmetry generates all atoms from Ba at (0.0000, 0.0000, 0.0000), P at (0.5000, 0.5000, 0.0000), H at (0.5000, 0.5000, 0.5000) and O at (0.0000, 0.5000, 0.5000).

The raw total energy is -4.50 eV per atom. The calculation puts the density of states at the Fermi level at 1.08 states/eV/cell. The value obtained for the magnetization is 0.0 μB per cell.

[4]
Computed, not measured: a relaxed Tl2Ge2SbO6 crystal at the PBE level of DFT.

The structure belongs to space group C2/m (No. 12); the cell edges are 10.2397, 5.9070 and 6.9975 Å and the angles 90.00°, 120.70° and 90.00°. Symmetry generates all atoms from Tl at (0.2102, 0.0000, 0.1704), Ge at (0.0562, 0.5000, 0.2102), Sb at (0.0000, 0.0000, 0.5000), O at (0.0232, 0.2512, 0.7361) and O at (0.2414, 0.0000, 0.6466).

The raw total energy is -5.49 eV per atom. The calculation puts the density of states at the Fermi level at 3.92 states/eV/cell. The value obtained for the magnetization is 0.0 μB per cell. As for the energy relative to the elements, uncorrected: -1145 meV per atom.

[5]
Computed, not measured: a relaxed MoPt4Rh3 crystal at the PBE level of DFT.

The structure belongs to space group Immm (No. 71); the cell edges are 2.7220, 8.5837 and 10.7492 Å and the angles 90.00°, 90.00° and 90.00°. Symmetry generates all atoms from Mo at (0.0000, 0.0000, 0.0000), Pt at (0.0000, 0.2679, 0.1265), Rh at (0.0000, 0.0000, 0.5000) and Rh at (0.0000, 0.5000, 0.2933).

The raw total energy is -7.09 eV per atom. Its formation energy is 37 meV/atom. The calculation puts the density of states at the Fermi level at 20.30 states/eV/cell. The value obtained for the magnetization is 0.0 μB per cell.

[6]
Computed, not measured: a relaxed BaAcAg crystal at the PBE level of DFT.

The structure belongs to space group Cmcm (No. 63); the cell edges are 4.0313, 18.9816 and 6.2029 Å and the angles 90.00°, 90.00° and 90.00°. Symmetry generates all atoms from Ba at (0.0000, 0.0736, 0.2500), Ac at (0.0000, 0.2207, 0.7500) and Ag at (0.0000, 0.4156, 0.2500).

The raw total energy is -3.08 eV per atom. Its formation energy is -124 meV/atom. The calculation puts the density of states at the Fermi level at 12.05 states/eV/cell. The value obtained for the magnetization is 0.0 μB per cell.

[7]
Computed, not measured: a relaxed CaAsF6 crystal at the PBE level of DFT.

The structure belongs to space group C2/m (No. 12); the cell edges are 7.7743, 6.2337 and 5.2899 Å and the angles 90.00°, 114.25° and 90.00°. Symmetry generates all atoms from Ca at (0.0000, 0.0000, 0.0000), As at (0.0000, 0.5000, 0.5000), F at (0.0718, 0.2853, 0.7857) and F at (0.2432, 0.0000, 0.4503).

The raw total energy is -4.89 eV per atom. The calculation puts the density of states at the Fermi level at 3.95 states/eV/cell. The value obtained for the magnetization is 1.9 μB per cell. As for the energy relative to the elements, uncorrected: -2656 meV per atom.

[8]
Computed, not measured: a relaxed Er4As3Se crystal at the PBE level of DFT.

The structure belongs to space group I4/mmm (No. 139); the cell edges are 5.7561, 5.7561 and 11.5167 Å and the angles 90.00°, 90.00° and 90.00°. Symmetry generates all atoms from Er at (0.0000, 0.0000, 0.2455), Er at (0.0000, 0.5000, 0.0000), As at (0.0000, 0.0000, 0.0000), As at (0.0000, 0.5000, 0.2500) and Se at (0.0000, 0.0000, 0.5000).

The raw total energy is -6.08 eV per atom. The calculation puts the density of states at the Fermi level at 5.07 states/eV/cell. The value obtained for the magnetization is 0.0 μB per cell. As for the energy relative to the elements, uncorrected: -1619 meV per atom.

[9]
Computed, not measured: a relaxed MgNi2Te crystal at the PBE level of DFT.

The structure belongs to space group P4/mmm (No. 123); the cell edges are 4.1173, 4.1173 and 3.6107 Å and the angles 90.00°, 90.00° and 90.00°. Symmetry generates all atoms from Mg at (0.0000, 0.0000, 0.0000), Ni at (0.0000, 0.5000, 0.5000) and Te at (0.5000, 0.5000, 0.0000).

The raw total energy is -4.19 eV per atom. The calculation puts the density of states at the Fermi level at 2.04 states/eV/cell. The value obtained for the magnetization is 0.0 μB per cell. As for the energy relative to the elements, uncorrected: -115 meV per atom.

[10]
Computed, not measured: a relaxed Ba3NpZn2O9 crystal at the PBE level of DFT.

The structure belongs to space group P-3m1 (No. 164); the cell edges are 5.8912, 5.8912 and 7.4185 Å and the angles 90.00°, 90.00° and 120.00°. Symmetry generates all atoms from Ba at (0.0000, 0.0000, 0.0000), Ba at (0.3333, 0.6667, 0.6984), Np at (0.0000, 0.0000, 0.5000), Zn at (0.3333, 0.6667, 0.1517), O at (0.0000, 0.5000, 0.0000) and O at (0.1615, 0.3231, 0.3409).

The raw total energy is -6.67 eV per atom. The calculation puts the density of states at the Fermi level at 1.92 states/eV/cell. The value obtained for the magnetization is 1.0 μB per cell. As for the energy relative to the elements, uncorrected: -2281 meV per atom.

[11]
Computed, not measured: a relaxed PuNi2H8Pd crystal at the PBE level of DFT.

The structure belongs to space group R-3 (No. 148, hexagonal axes); the cell edges are 4.5813, 4.5813 and 15.9844 Å and the angles 90.00°, 90.00° and 120.00°. Symmetry generates all atoms from Pu at (0.0000, 0.0000, 0.0000), Ni at (0.0000, 0.0000, 0.2059), H at (0.0000, 0.0000, 0.3062), H at (0.0027, 0.7077, 0.1180) and Pd at (0.0000, 0.0000, 0.5000).

The raw total energy is -4.93 eV per atom. The calculation puts the density of states at the Fermi level at 39.54 states/eV/cell. The value obtained for the magnetization is 16.9 μB per cell.

[12]
Computed, not measured: a relaxed Sm2Tm3ScS6 crystal at the PBE level of DFT.

The structure belongs to space group C2/m (No. 12); the cell edges are 16.8986, 3.8637 and 7.8075 Å and the angles 90.00°, 103.64° and 90.00°. Symmetry generates all atoms from Sm at (0.1668, 0.0000, 0.3341), Tm at (0.0000, 0.5000, 0.5000), Tm at (0.1693, 0.0000, 0.8343), Sc at (0.0000, 0.5000, 0.0000), S at (0.0044, 0.0000, 0.7580), S at (0.1630, 0.5000, 0.0710) and S at (0.1628, 0.5000, 0.5923).

The raw total energy is -6.43 eV per atom. The calculation puts the density of states at the Fermi level at 10.75 states/eV/cell. The value obtained for the magnetization is 0.0 μB per cell. As for the energy relative to the elements, uncorrected: -1939 meV per atom.

[13]
Computed, not measured: a relaxed Dy6Y3Tm2In crystal at the PBE level of DFT.

The structure belongs to space group C2/m (No. 12); the cell edges are 6.0927, 10.5605 and 11.5780 Å and the angles 90.00°, 100.17° and 90.00°. Symmetry generates all atoms from Dy at (0.2461, 0.1648, 0.2447), Dy at (0.2482, 0.0000, 0.7541), Y at (0.0000, 0.1667, 0.5000), Y at (0.0000, 0.5000, 0.5000), Tm at (0.0000, 0.3338, 0.0000) and In at (0.0000, 0.0000, 0.0000).

The raw total energy is -4.92 eV per atom. Its formation energy is -33 meV/atom. The calculation puts the density of states at the Fermi level at 32.60 states/eV/cell. The value obtained for the magnetization is 0.0 μB per cell.

[14]
Computed, not measured: a relaxed Ac4Pb crystal at the PBE level of DFT.

The structure belongs to space group Pm-3m (No. 221); the cell edges are 6.4024, 6.4024 and 6.4024 Å and the angles 90.00°, 90.00° and 90.00°. Symmetry generates all atoms from Ac at (0.0000, 0.0000, 0.0000), Ac at (0.0000, 0.5000, 0.5000) and Pb at (0.5000, 0.5000, 0.5000).

The raw total energy is -3.81 eV per atom. Its formation energy is 218 meV/atom. The calculation puts the density of states at the Fermi level at 10.90 states/eV/cell. The value obtained for the magnetization is 0.0 μB per cell.

[15]
Computed, not measured: a relaxed PaB2PtO8 crystal at the PBE level of DFT.

The structure belongs to space group P-3m1 (No. 164); the cell edges are 4.8569, 4.8569 and 6.5629 Å and the angles 90.00°, 90.00° and 120.00°. Symmetry generates all atoms from Pa at (0.0000, 0.0000, 0.0000), B at (0.3333, 0.6667, 0.2234), Pt at (0.0000, 0.0000, 0.5000), O at (0.1665, 0.3330, 0.2825) and O at (0.3333, 0.6667, 0.0030).

The raw total energy is -7.59 eV per atom. The calculation puts the density of states at the Fermi level at 10.41 states/eV/cell. The value obtained for the magnetization is 0.5 μB per cell. As for the energy relative to the elements, uncorrected: -1881 meV per atom.

[16]
Computed, not measured: a relaxed Pr3Nd2Sn4 crystal at the PBE level of DFT.

The structure belongs to space group P2_1/c (No. 14); the cell edges are 8.6728, 8.5752 and 8.2991 Å and the angles 90.00°, 111.97° and 90.00°. Symmetry generates all atoms from Pr at (0.0000, 0.0000, 0.0000), Pr at (0.2607, 0.1673, 0.7736), Nd at (0.3009, 0.6813, 0.9390), Sn at (0.0124, 0.6322, 0.1298) and Sn at (0.4158, 0.0322, 0.1765).

The raw total energy is -5.18 eV per atom. Its formation energy is -746 meV/atom. The calculation puts the density of states at the Fermi level at 14.75 states/eV/cell. The value obtained for the magnetization is 0.0 μB per cell.

[17]
Computed, not measured: a relaxed BaFeTe2 crystal at the PBE level of DFT.

The structure belongs to space group F-43m (No. 216); the cell edges are 7.8571, 7.8571 and 7.8571 Å and the angles 90.00°, 90.00° and 90.00°. Symmetry generates all atoms from Ba at (0.0000, 0.0000, 0.0000), Fe at (0.2500, 0.2500, 0.7500), Te at (0.0000, 0.0000, 0.5000) and Te at (0.2500, 0.2500, 0.2500).

The raw total energy is -4.02 eV per atom. The calculation puts the density of states at the Fermi level at 30.69 states/eV/cell. The value obtained for the magnetization is 14.6 μB per cell. As for the energy relative to the elements, uncorrected: 142 meV per atom.

[18]
Computed, not measured: a relaxed TlRuRh2 crystal at the PBE level of DFT.

The structure belongs to space group Pmmm (No. 47); the cell edges are 3.9739, 4.0054 and 4.0206 Å and the angles 90.00°, 90.00° and 90.00°. Symmetry generates all atoms from Tl at (0.0000, 0.0000, 0.0000), Ru at (0.0000, 0.5000, 0.5000), Rh at (0.5000, 0.0000, 0.5000) and Rh at (0.5000, 0.5000, 0.0000).

The raw total energy is -6.22 eV per atom. Its formation energy is 363 meV/atom. The calculation puts the density of states at the Fermi level at 5.84 states/eV/cell. The value obtained for the magnetization is 0.5 μB per cell.

[19]
Computed, not measured: a relaxed Ca3Ga9Pt2 crystal at the PBE level of DFT.

The structure belongs to space group Immm (No. 71); the cell edges are 4.2930, 10.0545 and 12.5921 Å and the angles 90.00°, 90.00° and 90.00°. Symmetry generates all atoms from Ca at (0.0000, 0.0000, 0.0000), Ca at (0.0000, 0.0000, 0.3214), Ga at (0.0000, 0.2814, 0.1252), Ga at (0.0000, 0.3695, 0.3274), Ga at (0.0000, 0.5000, 0.0000) and Pt at (0.0000, 0.2351, 0.5000).

The raw total energy is -3.83 eV per atom. Its formation energy is -590 meV/atom. The calculation puts the density of states at the Fermi level at 6.43 states/eV/cell. The value obtained for the magnetization is 0.0 μB per cell.

[20]
Computed, not measured: a relaxed IrRh2 crystal at the PBE level of DFT.

The structure belongs to space group P-3m1 (No. 164); the cell edges are 3.6354, 3.6354 and 4.3961 Å and the angles 90.00°, 90.00° and 120.00°. Symmetry generates all atoms from Ir at (0.0000, 0.0000, 0.0000) and Rh at (0.3333, 0.6667, 0.3137).

The raw total energy is -7.01 eV per atom. Its formation energy is 842 meV/atom. The calculation puts the density of states at the Fermi level at 4.89 states/eV/cell. The value obtained for the magnetization is 0.0 μB per cell.

[21]
Computed, not measured: a relaxed Pu2CdHg8 crystal at the PBE level of DFT.

The structure belongs to space group P4/mmm (No. 123); the cell edges are 4.8763, 4.8763 and 12.1552 Å and the angles 90.00°, 90.00° and 90.00°. Symmetry generates all atoms from Pu at (0.0000, 0.0000, 0.1844), Cd at (0.0000, 0.0000, 0.5000), Hg at (0.0000, 0.5000, 0.0000), Hg at (0.0000, 0.5000, 0.3591) and Hg at (0.5000, 0.5000, 0.1812).

The raw total energy is -2.99 eV per atom. Its formation energy is -83 meV/atom. The calculation puts the density of states at the Fermi level at 30.74 states/eV/cell. The value obtained for the magnetization is 12.5 μB per cell.

[22]
Computed, not measured: a relaxed La6SnGe2I3 crystal at the PBE level of DFT.

The structure belongs to space group C2/m (No. 12); the cell edges are 20.2267, 4.5382 and 9.3200 Å and the angles 90.00°, 105.04° and 90.00°. Symmetry generates all atoms from La at (0.0140, 0.0000, 0.2429), La at (0.1637, 0.5000, 0.1192), La at (0.1772, 0.5000, 0.5605), Sn at (0.0000, 0.5000, 0.0000), Ge at (0.1679, 0.0000, 0.3367), I at (0.0000, 0.5000, 0.5000) and I at (0.1639, 0.0000, 0.8335).

The raw total energy is -5.01 eV per atom. The calculation puts the density of states at the Fermi level at 12.40 states/eV/cell. The value obtained for the magnetization is 0.0 μB per cell. As for the energy relative to the elements, uncorrected: -1058 meV per atom.